First-principles (GGA-PBE) data for an optimized crystal structure of ZnMo2Os, as listed in Alexandria. Values from VASP.

```
&SYSTEM
  ibrav = 0, nat = 4, ntyp = 3
/
ATOMIC_SPECIES
Zn 65.41 Zn.upf
Mo 95.94 Mo.upf
Os 190.23 Os.upf
ATOMIC_POSITIONS angstrom
Zn -1.931 1.907 -0.752
Mo 0.000 0.000 0.000
Mo -0.828 2.428 -3.290
Os -1.480 -0.160 -2.390
CELL_PARAMETERS angstrom
-1.278 4.494 -1.651
-0.377 0.361 -4.928
-1.756 -3.108 3.437
```

Output
The calculation puts the raw total energy at -8.340 eV per atom. Its calculated density is 12.4 g cm⁻³. The value obtained for the formation energy is 19 kJ/mol of atoms.